{
  "formula": "PmGa12Co4",
  "functional": "GGA-PBE",
  "state": "optimized geometry",
  "lattice_angstrom": [[7.839, 0.000, 0.000], [-2.613, 7.391, 0.000], [-2.613, -3.695, 6.401]],
  "species": ["Co", "Ga", "Pm", "Ga", "Ga", "Ga", "Co", "Ga", "Ga", "Ga", "Ga", "Ga", "Co", "Ga", "Ga", "Ga", "Co"],
  "fractional_positions": [[0.000, 0.500, 0.000], [0.741, 0.741, 0.483], [0.000, 0.000, 0.000], [0.483, 0.741, 0.741], [0.741, 0.000, 0.259], [0.741, 0.483, 0.741], [0.500, 0.500, 0.500], [0.000, 0.259, 0.741], [0.259, 0.259, 0.517], [0.259, 0.517, 0.259], [0.517, 0.259, 0.259], [0.259, 0.741, 0.000], [0.000, 0.000, 0.500], [0.741, 0.259, 0.000], [0.259, 0.000, 0.741], [0.000, 0.741, 0.259], [0.500, 0.000, 0.000]],
  "crystal_system": "cubic",
  "spacegroup": "Im-3m, No. 229",
  "e_tot_ev_per_cell": -72.557
}

{
  "formula": "Pm4Ga2Co",
  "functional": "GGA-PBE",
  "state": "optimized geometry",
  "lattice_angstrom": [[-0.917, -3.722, 0.248], [1.399, -0.746, -6.022], [7.079, 0.561, 4.832]],
  "species": ["Pm", "Ga", "Pm", "Pm", "Ga", "Co", "Pm"],
  "fractional_positions": [[0.086, 0.739, 0.172], [0.262, 0.164, 0.524], [0.630, 0.271, 0.260], [0.370, 0.729, 0.740], [0.738, 0.836, 0.476], [0.000, 0.000, 0.000], [0.914, 0.261, 0.828]],
  "crystal_system": "monoclinic",
  "spacegroup": "C2/m, No. 12",
  "de_polymorph_ev_per_fu": 0.37
}

{
  "formula": "PmGa4Co",
  "functional": "GGA-PBE",
  "state": "optimized geometry",
  "lattice_angstrom": [[-3.471, -0.224, -2.055], [3.499, -0.794, -5.824], [-0.090, -7.545, 0.974]],
  "species": ["Ga", "Ga", "Co", "Ga", "Ga", "Ga", "Co", "Pm", "Ga", "Ga", "Ga", "Pm"],
  "fractional_positions": [[0.500, 0.688, 0.431], [0.000, 0.000, 0.500], [0.000, 0.809, 0.250], [0.500, 0.046, 0.250], [0.500, 0.954, 0.750], [0.500, 0.688, 0.069], [0.000, 0.191, 0.750], [0.000, 0.377, 0.250], [0.500, 0.312, 0.569], [0.000, 0.000, 0.000], [0.500, 0.312, 0.931], [0.000, 0.623, 0.750]],
  "crystal_system": "orthorhombic",
  "spacegroup": "Pmma, No. 51",
  "de_polymorph_ev_per_fu": 0.20
}

{
  "formula": "Pm5Ga5Co2",
  "functional": "GGA-PBE",
  "state": "optimized geometry",
  "lattice_angstrom": [[4.251, 0.000, 0.959], [2.118, 7.543, 0.510], [0.296, -0.367, 8.588]],
  "species": ["Co", "Pm", "Ga", "Co", "Ga", "Ga", "Pm", "Ga", "Pm", "Pm", "Pm", "Ga"],
  "fractional_positions": [[0.394, 0.448, 0.764], [0.692, 0.688, 0.929], [0.943, 0.304, 0.810], [0.606, 0.552, 0.236], [0.289, 0.757, 0.665], [0.000, 0.000, 0.000], [0.000, 0.500, 0.500], [0.057, 0.696, 0.190], [0.308, 0.312, 0.071], [0.632, 0.065, 0.671], [0.368, 0.935, 0.329], [0.711, 0.243, 0.335]],
  "crystal_system": "monoclinic",
  "spacegroup": "C2/m, No. 12",
  "e_tot_ev_per_cell": -58.539
}

{
  "formula": "PmGa4Co",
  "functional": "GGA-PBE",
  "state": "optimized geometry",
  "lattice_angstrom": [[-0.888, 4.020, 0.626], [-3.631, -1.600, 5.123], [6.752, -1.344, 4.366]],
  "species": ["Ga", "Pm", "Ga", "Ga", "Co", "Ga", "Ga", "Ga", "Ga", "Co", "Pm", "Ga"],
  "fractional_positions": [[0.500, 0.500, 0.000], [0.883, 0.750, 0.767], [0.690, 0.949, 0.379], [0.925, 0.250, 0.849], [0.777, 0.250, 0.554], [0.690, 0.551, 0.379], [0.500, 0.000, 0.000], [0.075, 0.750, 0.151], [0.310, 0.449, 0.621], [0.223, 0.750, 0.446], [0.117, 0.250, 0.233], [0.310, 0.051, 0.621]],
  "crystal_system": "orthorhombic",
  "spacegroup": "Cmcm, No. 63",
  "de_polymorph_ev_per_fu": 0.00
}

{
  "formula": "Pm6Ga3Co",
  "functional": "GGA-PBE",
  "state": "optimized geometry",
  "lattice_angstrom": [[8.260, -0.075, -0.076], [-0.254, 8.256, -0.076], [-0.254, -0.260, 8.253]],
  "species": ["Ga", "Pm", "Pm", "Pm", "Pm", "Pm", "Pm", "Ga", "Pm", "Ga", "Pm", "Co", "Pm", "Co", "Ga", "Ga", "Ga", "Pm", "Pm", "Pm"],
  "fractional_positions": [[0.250, 0.853, 0.647], [0.576, 0.813, 0.451], [0.187, 0.549, 0.424], [0.451, 0.576, 0.813], [0.048, 0.687, 0.924], [0.952, 0.313, 0.076], [0.549, 0.424, 0.187], [0.853, 0.647, 0.250], [0.813, 0.451, 0.576], [0.750, 0.147, 0.353], [0.687, 0.924, 0.048], [0.500, 0.500, 0.500], [0.076, 0.952, 0.313], [0.000, 0.000, 0.000], [0.147, 0.353, 0.750], [0.647, 0.250, 0.853], [0.353, 0.750, 0.147], [0.313, 0.076, 0.952], [0.424, 0.187, 0.549], [0.924, 0.048, 0.687]],
  "crystal_system": "trigonal",
  "spacegroup": "R-3c, No. 167",
  "e_tot_ev_per_cell": -94.508
}

{
  "formula": "PmGaCo",
  "functional": "GGA-PBE",
  "state": "optimized geometry",
  "lattice_angstrom": [[-1.066, 2.931, 0.800], [0.234, -0.766, 3.119], [5.478, 0.739, -1.891]],
  "species": ["Ga", "Pm", "Co"],
  "fractional_positions": [[0.295, 0.295, 0.589], [0.010, 0.010, 0.020], [0.695, 0.695, 0.391]],
  "crystal_system": "tetragonal",
  "spacegroup": "I4mm, No. 107",
  "de_polymorph_ev_per_fu": 0.70
}

{
  "formula": "Pm7Ga2Co2",
  "functional": "GGA-PBE",
  "state": "optimized geometry",
  "lattice_angstrom": [[6.738, -0.003, -0.980], [0.003, 6.938, 0.003], [-1.397, -0.002, 6.664]],
  "species": ["Co", "Co", "Pm", "Ga", "Pm", "Pm", "Pm", "Ga", "Pm", "Pm", "Pm"],
  "fractional_positions": [[0.701, 0.000, 0.299], [0.299, 0.000, 0.701], [0.500, 0.750, 0.500], [0.162, 0.500, 0.162], [0.000, 0.746, 0.500], [0.000, 0.000, 0.000], [0.500, 0.254, 0.000], [0.838, 0.500, 0.838], [0.500, 0.746, 0.000], [0.500, 0.250, 0.500], [0.000, 0.254, 0.500]],
  "crystal_system": "orthorhombic",
  "spacegroup": "Cmmm, No. 65",
  "e_tot_ev_per_cell": -55.384
}

{
  "formula": "Pm3GaCo8",
  "functional": "GGA-PBE",
  "state": "optimized geometry",
  "lattice_angstrom": [[-2.377, -0.396, 4.436], [-5.005, -0.644, 0.133], [-1.411, -8.541, 1.354]],
  "species": ["Co", "Co", "Pm", "Pm", "Co", "Ga", "Pm", "Co", "Co", "Co", "Co", "Co"],
  "fractional_positions": [[0.939, 0.446, 0.677], [0.437, 0.437, 0.195], [0.994, 0.994, 0.018], [0.504, 0.504, 0.489], [0.437, 0.931, 0.195], [0.871, 0.871, 0.386], [0.376, 0.376, 0.873], [0.189, 0.189, 0.433], [0.931, 0.437, 0.195], [0.446, 0.939, 0.677], [0.939, 0.939, 0.677], [0.688, 0.688, 0.935]],
  "crystal_system": "trigonal",
  "spacegroup": "R3m, No. 160",
  "e_tot_ev_per_cell": -75.089
}

{
  "formula": "Pm2Ga6Co",
  "functional": "GGA-PBE",
  "state": "optimized geometry",
  "lattice_angstrom": [[5.370, 0.000, 3.100], [1.790, 5.063, 3.100], [0.000, 0.000, 6.200]],
  "species": ["Ga", "Co", "Pm", "Ga", "Ga", "Ga", "Pm", "Ga", "Ga"],
  "fractional_positions": [[0.277, 0.723, 0.723], [0.000, 0.000, 0.000], [0.250, 0.250, 0.250], [0.723, 0.277, 0.277], [0.277, 0.723, 0.277], [0.723, 0.723, 0.277], [0.750, 0.750, 0.750], [0.277, 0.277, 0.723], [0.723, 0.277, 0.723]],
  "crystal_system": "cubic",
  "spacegroup": "Fm-3m, No. 225",
  "e_tot_ev_per_cell": -39.885
}

{
  "formula": "Pm12GaCo6",
  "functional": "GGA-PBE",
  "state": "optimized geometry",
  "lattice_angstrom": [[8.066, 0.000, -2.852], [-4.033, 6.986, -2.852], [0.000, 0.000, 8.556]],
  "species": ["Co", "Pm", "Pm", "Pm", "Co", "Pm", "Co", "Ga", "Pm", "Pm", "Pm", "Pm", "Co", "Pm", "Co", "Pm", "Pm", "Co", "Pm"],
  "fractional_positions": [[0.888, 0.388, 0.500], [0.697, 0.889, 0.192], [0.889, 0.192, 0.697], [0.111, 0.808, 0.303], [0.500, 0.888, 0.388], [0.192, 0.303, 0.495], [0.388, 0.500, 0.888], [0.000, 0.000, 0.000], [0.808, 0.697, 0.505], [0.303, 0.495, 0.192], [0.808, 0.303, 0.111], [0.192, 0.697, 0.889], [0.500, 0.112, 0.612], [0.505, 0.808, 0.697], [0.112, 0.612, 0.500], [0.697, 0.505, 0.808], [0.303, 0.111, 0.808], [0.612, 0.500, 0.112], [0.495, 0.192, 0.303]],
  "crystal_system": "cubic",
  "spacegroup": "Im-3, No. 204",
  "e_tot_ev_per_cell": -105.498
}

{
  "formula": "Pm6GaCo3",
  "functional": "GGA-PBE",
  "state": "optimized geometry",
  "lattice_angstrom": [[-0.497, -0.845, -3.654], [1.374, -10.379, 2.212], [-13.205, 2.919, 1.120]],
  "species": ["Pm", "Pm", "Co", "Pm", "Co", "Pm", "Co", "Co", "Pm", "Co", "Pm", "Pm", "Ga", "Pm", "Pm", "Pm", "Pm", "Pm", "Ga", "Co"],
  "fractional_positions": [[0.750, 0.845, 0.822], [0.750, 0.147, 0.441], [0.750, 0.659, 0.481], [0.750, 0.527, 0.620], [0.250, 0.936, 0.978], [0.250, 0.473, 0.380], [0.250, 0.649, 0.142], [0.250, 0.341, 0.519], [0.750, 0.724, 0.309], [0.750, 0.064, 0.022], [0.250, 0.155, 0.178], [0.750, 0.441, 0.090], [0.750, 0.059, 0.705], [0.750, 0.831, 0.096], [0.250, 0.169, 0.904], [0.250, 0.853, 0.559], [0.250, 0.276, 0.691], [0.250, 0.559, 0.910], [0.250, 0.941, 0.295], [0.750, 0.351, 0.858]],
  "crystal_system": "monoclinic",
  "spacegroup": "P2_1/m, No. 11",
  "e_tot_ev_per_cell": -107.929
}